Below is crystalline TaCrCdMo2 at its relaxed geometry, with properties calculated at the PBE-GGA level.

The structure in POSCAR format:
```
TaCrCdMo2
1.0
4.707 0.000 0.000
0.000 4.707 0.000
0.000 0.000 5.191
Ta Cr Cd Mo
1 1 1 2
direct
0.000 0.000 0.000
0.500 0.500 0.500
0.000 0.000 0.500
0.000 0.500 0.000
0.500 0.000 0.000
```

Properties
* Fermi-level density of states: 1.55 states/eV per atom
* ΔE_f: 2.212 eV/atom
* magnetization: 0.12 μB per atom
* E: -6.5984 eV/atom